Record 1
Material: ZrBe2SnPb
Method: DFT, PBE
State: optimized geometry

a = 5.135 Å, b = 5.135 Å, c = 5.771 Å
α = 90.00°, β = 90.00°, γ = 90.00°
Element x y z (fractional)
1 Zr 0.000 0.000 0.000
2 Be 0.000 0.500 0.000
3 Be 0.500 0.000 0.000
4 Sn 0.000 0.000 0.500
5 Pb 0.500 0.500 0.500

Results
calculated formation energy: 1.091 eV/atom


Record 2
Material: SrBe2Pb2
Method: DFT, PBE
State: optimized geometry

a = 6.656 Å, b = 6.656 Å, c = 6.656 Å
α = 140.73°, β = 140.73°, γ = 56.75°
Element x y z (fractional)
1 Sr 0.000 0.000 0.000
2 Be 0.250 0.750 0.500
3 Be 0.750 0.250 0.500
4 Pb 0.364 0.364 0.000
5 Pb 0.636 0.636 0.000

Results
calculated formation energy: 0.129 eV/atom


Record 3
Material: Sr3BePb
Method: DFT, PBE
State: optimized geometry

a = 5.809 Å, b = 5.809 Å, c = 5.809 Å
α = 90.00°, β = 90.00°, γ = 90.00°
Element x y z (fractional)
1 Sr 0.000 0.000 0.500
2 Sr 0.000 0.500 0.000
3 Sr 0.500 0.000 0.000
4 Be 0.000 0.000 0.000
5 Pb 0.500 0.500 0.500

Results
calculated formation energy: 0.177 eV/atom


Record 4
Material: SrBePb4
Method: DFT, PBE
State: optimized geometry

a = 6.510 Å, b = 6.510 Å, c = 6.510 Å
α = 60.00°, β = 60.00°, γ = 60.00°
Element x y z (fractional)
1 Sr 0.000 0.000 0.000
2 Be 0.750 0.750 0.750
3 Pb 0.375 0.375 0.375
4 Pb 0.375 0.375 0.876
5 Pb 0.375 0.876 0.375
6 Pb 0.876 0.375 0.375

Results
calculated formation energy: 0.294 eV/atom


Record 5
Material: Sr2BePb2
Method: DFT, PBE
State: optimized geometry

a = 7.613 Å, b = 7.613 Å, c = 5.306 Å
α = 90.00°, β = 90.00°, γ = 90.00°
Element x y z (fractional)
1 Sr 0.167 0.333 0.000
2 Sr 0.333 0.833 0.000
3 Sr 0.667 0.167 0.000
4 Sr 0.833 0.667 0.000
5 Be 0.000 0.000 0.500
6 Be 0.500 0.500 0.500
7 Pb 0.149 0.649 0.500
8 Pb 0.351 0.149 0.500
9 Pb 0.649 0.851 0.500
10 Pb 0.851 0.351 0.500

Results
calculated formation energy: -0.083 eV/atom


Record 6
Material: SrBePb
Method: DFT, PBE
State: optimized geometry

a = 4.390 Å, b = 4.390 Å, c = 4.866 Å
α = 90.00°, β = 90.00°, γ = 120.00°
Element x y z (fractional)
1 Sr 0.000 0.000 0.000
2 Be 0.667 0.333 0.500
3 Pb 0.333 0.667 0.500

Results
calculated formation energy: -0.128 eV/atom


Record 7
Material: SrBePb
Method: DFT, PBE
State: optimized geometry

a = 6.490 Å, b = 6.490 Å, c = 6.490 Å
α = 147.39°, β = 147.39°, γ = 46.78°
Element x y z (fractional)
1 Sr 0.000 0.000 0.000
2 Be 0.680 0.680 0.000
3 Pb 0.286 0.286 0.000

Results
calculated formation energy: 0.213 eV/atom


Record 8
Material: SrBe4Pb
Method: DFT, PBE
State: optimized geometry

a = 5.317 Å, b = 5.317 Å, c = 5.317 Å
α = 60.00°, β = 60.00°, γ = 60.00°
Element x y z (fractional)
1 Sr 0.000 0.000 0.000
2 Be 0.069 0.644 0.644
3 Be 0.644 0.069 0.644
4 Be 0.644 0.644 0.069
5 Be 0.644 0.644 0.644
6 Pb 0.250 0.250 0.250

Results
calculated formation energy: 0.559 eV/atom